# BiSbRu

A relaxed BiSbRu crystal (PBE-GGA, Alexandria via LeMat-Bulk).

Values from the calculation:
Space group: P2_1/c, No. 14
Uncorrected formation energy: -0.08 eV/atom
Calculated volume: 278 Å³ per cell

Geometry as POSCAR:
```
BiSbRu
1.0
-6.521 -1.447 1.622
2.094 -2.540 6.151
-1.741 6.669 -1.049
Sb Ru Bi
4 4 4
Direct
0.647 0.655 0.849
0.147 0.345 0.651
0.853 0.655 0.349
0.353 0.345 0.151
0.006 0.259 0.251
0.506 0.741 0.249
0.494 0.259 0.751
0.994 0.741 0.749
0.142 0.840 0.164
0.642 0.160 0.336
0.858 0.160 0.836
0.358 0.840 0.664
```